# NdAs3, relaxed, DFT PBEsol
data_NdAs3
_chemical_formula_sum 'Nd1 As3'
_space_group_name_H-M_alt 'P 1'
_space_group_IT_number 1
_space_group_name_Hall 'P 1'
_cell_length_a 4.122
_cell_length_b 4.122
_cell_length_c 5.755
_cell_angle_alpha 110.99
_cell_angle_beta 110.99
_cell_angle_gamma 90.00
loop_
_atom_site_label
_atom_site_fract_x
_atom_site_fract_y
_atom_site_fract_z
As1 0.250 0.750 0.500
As2 0.750 0.250 0.500
As3 0.500 0.500 0.000
Nd1 0.000 0.000 0.000
# uncorrected energy: -22.8 eV/cell
# density: 7.3 g/cm³
# crystal system: tetragonal
# E_form: -0.5717 eV per atom

---

# NdAsO4, relaxed, DFT PBEsol
data_NdAsO4
_chemical_formula_sum 'Nd2 As2 O8'
_space_group_name_H-M_alt 'P 1'
_space_group_IT_number 1
_space_group_name_Hall 'P 1'
_cell_length_a 6.075
_cell_length_b 6.075
_cell_length_c 6.075
_cell_angle_alpha 106.38
_cell_angle_beta 106.38
_cell_angle_gamma 115.86
loop_
_atom_site_label
_atom_site_fract_x
_atom_site_fract_y
_atom_site_fract_z
Nd1 0.000 0.000 0.000
Nd2 0.250 0.750 0.500
As1 0.750 0.250 0.500
As2 0.500 0.500 0.000
O1 0.758 0.079 0.680
O2 0.921 0.242 0.320
O3 0.921 0.601 0.680
O4 0.399 0.079 0.320
O5 0.851 0.671 0.180
O6 0.329 0.508 0.180
O7 0.329 0.149 0.820
O8 0.492 0.671 0.820
# uncorrected energy: -90.7 eV/cell
# density: 5.5 g/cm³
# crystal system: tetragonal
# ΔE to the lowest computed polymorph: 5 meV/atom

---

# Nd2As4O9, relaxed, DFT PBEsol
data_Nd2As4O9
_chemical_formula_sum 'Nd4 As8 O18'
_space_group_name_H-M_alt 'P 1'
_space_group_IT_number 1
_space_group_name_Hall 'P 1'
_cell_length_a 6.860
_cell_length_b 7.642
_cell_length_c 9.500
_cell_angle_alpha 96.52
_cell_angle_beta 103.48
_cell_angle_gamma 104.72
loop_
_atom_site_label
_atom_site_fract_x
_atom_site_fract_y
_atom_site_fract_z
Nd1 0.749 0.944 0.121
Nd2 0.777 0.468 0.093
Nd3 0.251 0.056 0.879
Nd4 0.223 0.532 0.907
As1 0.825 0.231 0.444
As2 0.328 0.241 0.575
As3 0.672 0.759 0.425
As4 0.175 0.769 0.556
As5 0.690 0.646 0.789
As6 0.310 0.354 0.211
As7 0.250 0.922 0.218
As8 0.750 0.078 0.782
O1 0.865 0.896 0.854
O2 0.126 0.460 0.131
O3 0.624 0.660 0.240
O4 0.657 0.131 0.938
O5 0.109 0.320 0.485
O6 0.874 0.540 0.869
O7 0.003 0.225 0.821
O8 0.135 0.104 0.146
O9 0.593 0.667 0.949
O10 0.812 0.985 0.390
O11 0.376 0.340 0.760
O12 0.997 0.775 0.179
O13 0.236 0.750 0.743
O14 0.407 0.333 0.051
O15 0.188 0.015 0.610
O16 0.343 0.869 0.062
O17 0.764 0.250 0.257
O18 0.891 0.680 0.515
# uncorrected energy: -217.1 eV/cell
# density: 5.3 g/cm³
# crystal system: triclinic

---

# NdAsO4, relaxed, DFT PBEsol
data_NdAsO4
_chemical_formula_sum 'Nd2 As2 O8'
_space_group_name_H-M_alt 'P 1'
_space_group_IT_number 1
_space_group_name_Hall 'P 1'
_cell_length_a 5.115
_cell_length_b 5.115
_cell_length_c 6.813
_cell_angle_alpha 112.05
_cell_angle_beta 112.05
_cell_angle_gamma 90.00
loop_
_atom_site_label
_atom_site_fract_x
_atom_site_fract_y
_atom_site_fract_z
Nd1 0.250 0.750 0.500
Nd2 0.000 0.000 0.000
As1 0.750 0.250 0.500
As2 0.500 0.500 0.000
O1 0.689 0.081 0.658
O2 0.969 0.577 0.658
O3 0.827 0.439 0.158
O4 0.331 0.719 0.158
O5 0.561 0.669 0.842
O6 0.281 0.173 0.842
O7 0.423 0.311 0.342
O8 0.919 0.031 0.342
# uncorrected energy: -90.8 eV/cell
# density: 6.2 g/cm³
# crystal system: tetragonal
# ΔE to the lowest computed polymorph: 0 meV/atom